First-principles (PBE with a Hubbard U) data for NaU2CrO8 after structural relaxation, as listed in the Alexandria database.

a = 4.7860 Å, b = 4.7860 Å, c = 6.9838 Å
α = 90.00°, β = 90.00°, γ = 91.62°
Fractional positions:
Na (0.0000, 0.0000, 0.0000)
U (0.5000, 0.5000, 0.2517)
U (0.5000, 0.5000, 0.7483)
Cr (0.0000, 0.0000, 0.5000)
O (0.2051, 0.2051, 0.2819)
O (0.2051, 0.2051, 0.7181)
O (0.3010, 0.6990, 0.5000)
O (0.3233, 0.6767, 0.0000)
O (0.6767, 0.3233, 0.0000)
O (0.6990, 0.3010, 0.5000)
O (0.7949, 0.7949, 0.2819)
O (0.7949, 0.7949, 0.7181)

The density is 7.1 g/cm³. The space group is Cmmm, No. 65. Its energy is -103.2 eV/cell. The calculation puts the total magnetization at 3.0 μB/f.u.